1.
A plane-wave DFT calculation with PBE was carried out for a relaxed structure of SrCuNiBi.

Output
Energy above the lowest structure with this stoichiometry: 0.00 eV per formula unit
Spin magnetization: 0.0 μB per formula unit
Electronic total energy: -3.764 eV/atom
Crystal system: cubic

POSCAR file:
```
SrCuNiBi
1.0
4.0350 -2.7572 0.5722
-0.4160 -4.8493 0.7228
1.3561 -3.1399 -3.5374
Bi Cu Ni Sr
1 1 1 1
Direct
0.5000 0.5000 0.5000 Bi
0.7500 0.7500 0.7500 Cu
0.2500 0.2500 0.2500 Ni
0.0000 0.0000 0.0000 Sr
```

***

2.
A plane-wave DFT calculation with PBE was carried out for a relaxed structure of HfTlAgTeSe2.

Output
Energy above the lowest structure with this stoichiometry: 0.13 eV per formula unit
Spin magnetization: 0.0 μB per formula unit
Electronic total energy: -4.932 eV/atom
Crystal system: monoclinic

POSCAR file:
```
HfTlAgTeSe2
1.0
8.3636 0.0000 0.0000
0.0000 4.0075 0.0000
-3.5877 0.0000 9.6397
Ag Hf Se Te Tl
2 2 4 2 2
Direct
0.4279 0.7500 0.3935 Ag
0.5721 0.2500 0.6065 Ag
0.1821 0.2500 0.1618 Hf
0.8179 0.7500 0.8382 Hf
0.9536 0.7500 0.1268 Se
0.2261 0.2500 0.4286 Se
0.7739 0.7500 0.5714 Se
0.0464 0.2500 0.8732 Se
0.4181 0.7500 0.1244 Te
0.5819 0.2500 0.8756 Te
0.7706 0.2500 0.3072 Tl
0.2294 0.7500 0.6928 Tl
```

***

3.
A plane-wave DFT calculation with PBE was carried out for a relaxed structure of LiZrScNi.

Output
Energy above the lowest structure with this stoichiometry: 0.71 eV per formula unit
Spin magnetization: 0.0 μB per formula unit
Electronic total energy: -5.512 eV/atom
Crystal system: cubic

POSCAR file:
```
LiZrScNi
1.0
0.0000 3.2043 3.2043
3.2043 0.0000 3.2043
3.2043 3.2043 0.0000
Li Ni Sc Zr
1 1 1 1
Direct
0.7500 0.7500 0.7500 Li
0.0000 0.0000 0.0000 Ni
0.5000 0.5000 0.5000 Sc
0.2500 0.2500 0.2500 Zr
```

***

4.
A plane-wave DFT calculation with PBE was carried out for a relaxed structure of Gd2YMg3CuNi2.

Output
Spin magnetization: 0.0 μB per formula unit
Electronic total energy: -4.203 eV/atom
Crystal system: orthorhombic

POSCAR file:
```
Gd2YMg3CuNi2
1.0
3.9225 0.0000 0.0000
0.0000 6.4356 3.6958
0.0000 -6.4356 3.6958
Cu Gd Mg Ni Y
1 2 3 2 1
Direct
0.5000 0.0000 0.0000 Cu
0.5000 0.5814 0.0002 Gd
0.5000 0.0002 0.5814 Gd
0.0000 0.2457 0.0013 Mg
0.0000 0.0013 0.2457 Mg
0.0000 0.7532 0.7532 Mg
0.0000 0.6673 0.3332 Ni
0.0000 0.3332 0.6673 Ni
0.5000 0.4176 0.4176 Y
```

***

5.
A plane-wave DFT calculation with PBE was carried out for a relaxed structure of TlAgPbO3.

Output
Electronic total energy: -4.561 eV/atom
Crystal system: orthorhombic

POSCAR file:
```
TlAgPbO3
1.0
9.4756 0.0000 0.0000
0.0000 3.4649 0.0000
0.0000 0.0000 12.9887
Ag O Pb Tl
4 12 4 4
Direct
0.4627 0.0000 0.0861 Ag
0.9627 0.5000 0.4139 Ag
0.0373 0.0000 0.5861 Ag
0.5373 0.5000 0.9139 Ag
0.2416 0.0000 0.0776 O
0.9681 0.5000 0.0871 O
0.6802 0.0000 0.1277 O
0.1802 0.5000 0.3723 O
0.4681 0.0000 0.4129 O
0.7416 0.5000 0.4224 O
0.2584 0.0000 0.5776 O
0.5319 0.5000 0.5871 O
0.8198 0.0000 0.6277 O
0.3198 0.5000 0.8723 O
0.0319 0.0000 0.9129 O
0.7584 0.5000 0.9224 O
0.8423 0.0000 0.0171 Pb
0.3423 0.5000 0.4829 Pb
0.6577 0.0000 0.5171 Pb
0.1577 0.5000 0.9829 Pb
0.0947 0.0000 0.2425 Tl
0.5947 0.5000 0.2575 Tl
0.4053 0.0000 0.7425 Tl
0.9053 0.5000 0.7575 Tl
```

***

6.
A plane-wave DFT calculation with PBE was carried out for a relaxed structure of RbBaHfAu.

Output
Energy above the lowest structure with this stoichiometry: 0.00 eV per formula unit
Spin magnetization: 0.1 μB per formula unit
Electronic total energy: -3.347 eV/atom
Crystal system: cubic

POSCAR file:
```
RbBaHfAu
1.0
-1.5319 2.6198 4.5852
-3.8676 -2.1749 3.2475
1.3688 -2.0394 4.9195
Au Ba Hf Rb
1 1 1 1
Direct
0.7500 0.7500 0.7500 Au
0.5000 0.5000 0.5000 Ba
0.0000 0.0000 0.0000 Hf
0.2500 0.2500 0.2500 Rb
```

***

7.
A plane-wave DFT calculation with PBE was carried out for a relaxed structure of TbDySn2Os2.

Output
Spin magnetization: 0.0 μB per formula unit
Electronic total energy: -6.950 eV/atom
Crystal system: tetragonal

POSCAR file:
```
TbDySn2Os2
1.0
-0.5103 -3.4392 -2.8828
3.1043 -2.3658 2.2728
-4.8644 -2.5887 3.9494
Dy Os Sn Tb
1 2 2 1
Direct
0.0000 0.0000 0.7163 Dy
0.5000 0.0000 0.9995 Os
0.0000 0.5000 0.9995 Os
0.0000 0.0000 0.2280 Sn
0.5000 0.5000 0.7712 Sn
0.5000 0.5000 0.2855 Tb
```

***

8.
A plane-wave DFT calculation with PBE was carried out for a relaxed structure of ErMgSi.

Output
Spin magnetization: 0.0 μB per formula unit
Electronic total energy: -4.211 eV/atom
Crystal system: cubic

POSCAR file:
```
ErMgSi
1.0
0.0000 3.2670 3.2670
3.2670 0.0000 3.2670
3.2670 3.2670 0.0000
Er Mg Si
1 1 1
Direct
0.2500 0.2500 0.2500 Er
0.7500 0.7500 0.7500 Mg
0.0000 0.0000 0.0000 Si
```

***

9.
A plane-wave DFT calculation with PBE was carried out for a relaxed structure of Th3Pd4.

Output
Energy of formation from the pure elements: -824 meV/atom
Spin magnetization: 0.0 μB per formula unit
Electronic total energy: -6.958 eV/atom
Crystal system: trigonal

POSCAR file:
```
Th3Pd4
1.0
-6.9842 -3.5362 2.3171
4.7745 -4.6805 -4.6852
3.9347 3.9543 5.9611
Pd Th
8 6
Direct
0.0000 0.0000 0.0000 Pd
0.2250 0.5588 0.0612 Pd
0.5588 0.0612 0.2250 Pd
0.9388 0.7750 0.4412 Pd
0.5000 0.5000 0.5000 Pd
0.0612 0.2250 0.5588 Pd
0.4412 0.9388 0.7750 Pd
0.7750 0.4412 0.9388 Pd
0.4074 0.2797 0.0289 Th
0.0289 0.4074 0.2797 Th
0.2797 0.0289 0.4074 Th
0.7203 0.9711 0.5926 Th
0.9711 0.5926 0.7203 Th
0.5926 0.7203 0.9711 Th
```

***

10.
A plane-wave DFT calculation with PBE was carried out for a relaxed structure of PrTlHgTe3.

Output
Energy above the lowest structure with this stoichiometry: 0.12 eV per formula unit
Spin magnetization: 0.0 μB per formula unit
Electronic total energy: -3.535 eV/atom
Crystal system: orthorhombic

POSCAR file:
```
PrTlHgTe3
1.0
-7.2934 -13.0194 -3.2956
1.1813 0.4469 -4.3796
10.1720 -6.2319 2.1078
Hg Pr Te Tl
4 4 12 4
Direct
0.9803 0.7500 0.1096 Hg
0.4803 0.7500 0.3904 Hg
0.5197 0.2500 0.6096 Hg
0.0197 0.2500 0.8904 Hg
0.4711 0.2500 0.1590 Pr
0.9711 0.2500 0.3410 Pr
0.0289 0.7500 0.6590 Pr
0.5289 0.7500 0.8410 Pr
0.6041 0.7500 0.0820 Te
0.0982 0.2500 0.1191 Te
0.3371 0.7500 0.2401 Te
0.8371 0.7500 0.2599 Te
0.5982 0.2500 0.3809 Te
0.1041 0.7500 0.4180 Te
0.8959 0.2500 0.5820 Te
0.4018 0.7500 0.6191 Te
0.1629 0.2500 0.7401 Te
0.6629 0.2500 0.7599 Te
0.9018 0.7500 0.8809 Te
0.3959 0.2500 0.9180 Te
0.7618 0.2500 0.0448 Tl
0.2618 0.2500 0.4552 Tl
0.7382 0.7500 0.5448 Tl
0.2382 0.7500 0.9552 Tl
```

***

11.
A plane-wave DFT calculation with PBE was carried out for a relaxed structure of LaDy2Al7Ag2.

Output
Spin magnetization: 0.0 μB per formula unit
Electronic total energy: -4.316 eV/atom
Crystal system: trigonal

POSCAR file:
```
LaDy2Al7Ag2
1.0
2.8007 1.6170 8.8240
-2.8007 1.6170 8.8240
0.0000 -3.2340 8.8240
Ag Al Dy La
2 7 2 1
Direct
0.3359 0.3359 0.3359 Ag
0.6641 0.6641 0.6641 Ag
0.5886 0.5886 0.0762 Al
0.9238 0.4114 0.4114 Al
0.4114 0.9238 0.4114 Al
0.5000 0.5000 0.5000 Al
0.5886 0.0762 0.5886 Al
0.0762 0.5886 0.5886 Al
0.4114 0.4114 0.9238 Al
0.1420 0.1420 0.1420 Dy
0.8580 0.8580 0.8580 Dy
0.0000 0.0000 0.0000 La
```

***

12.
A plane-wave DFT calculation with PBE was carried out for a relaxed structure of BaCd2PdPt.

Output
Spin magnetization: 0.0 μB per formula unit
Electronic total energy: -3.513 eV/atom
Crystal system: tetragonal

POSCAR file:
```
BaCd2PdPt
1.0
-2.2492 2.2492 6.0664
2.2492 -2.2492 6.0664
2.2492 2.2492 -6.0664
Ba Cd Pd Pt
1 2 1 1
Direct
0.0015 0.0015 0.0000 Ba
0.7501 0.2501 0.5000 Cd
0.2501 0.7501 0.5000 Cd
0.3893 0.3893 0.0000 Pd
0.6090 0.6090 0.0000 Pt
```

***

13.
A plane-wave DFT calculation with PBE was carried out for a relaxed structure of RbScTcSe3.

Output
Energy above the lowest structure with this stoichiometry: 0.00 eV per formula unit
Spin magnetization: 0.0 μB per formula unit
Electronic total energy: -5.667 eV/atom
Crystal system: orthorhombic

POSCAR file:
```
RbScTcSe3
1.0
1.9566 -7.6961 0.0000
1.9566 7.6961 0.0000
0.0000 0.0000 10.1123
Rb Sc Se Tc
2 2 6 2
Direct
0.2484 0.7516 0.2500 Rb
0.7516 0.2484 0.7500 Rb
0.5000 0.5000 0.0000 Sc
0.5000 0.5000 0.5000 Sc
0.8815 0.1185 0.0533 Se
0.5685 0.4315 0.2500 Se
0.8815 0.1185 0.4467 Se
0.1185 0.8815 0.5533 Se
0.4315 0.5685 0.7500 Se
0.1185 0.8815 0.9467 Se
0.9755 0.0245 0.2500 Tc
0.0245 0.9755 0.7500 Tc
```

***

14.
A plane-wave DFT calculation with PBE was carried out for a relaxed structure of Nb2CuGe2.

Output
Energy above the lowest structure with this stoichiometry: 0.44 eV per formula unit
Spin magnetization: 0.2 μB per formula unit
Electronic total energy: -6.290 eV/atom
Crystal system: tetragonal

POSCAR file:
```
Nb2CuGe2
1.0
-2.7005 -5.8180 -0.4276
-1.6558 -3.9190 4.8192
-0.3976 6.0581 -2.1134
Cu Ge Nb
1 2 2
Direct
0.0000 0.0000 0.0000 Cu
0.3999 0.3999 0.0000 Ge
0.6001 0.6001 0.0000 Ge
0.7500 0.2500 0.5000 Nb
0.2500 0.7500 0.5000 Nb
```

***

15.
A plane-wave DFT calculation with PBE was carried out for a relaxed structure of SmMgU.

Output
Energy above the lowest structure with this stoichiometry: 0.00 eV per formula unit
Spin magnetization: 4.4 μB per formula unit
Electronic total energy: -4.758 eV/atom
Crystal system: cubic

POSCAR file:
```
SmMgU
1.0
0.0000 3.6563 3.6563
3.6563 0.0000 3.6563
3.6563 3.6563 0.0000
Mg Sm U
1 1 1
Direct
0.0000 0.0000 0.0000 Mg
0.2500 0.2500 0.2500 Sm
0.7500 0.7500 0.7500 U
```

***

16.
A plane-wave DFT calculation with PBE was carried out for a relaxed structure of HfZrSnC.

Output
Energy above the lowest structure with this stoichiometry: 0.01 eV per formula unit
Spin magnetization: 0.0 μB per formula unit
Electronic total energy: -8.710 eV/atom
Crystal system: trigonal

POSCAR file:
```
HfZrSnC
1.0
-2.6457 1.4110 -1.5003
-0.4092 -2.7347 1.8961
-2.1512 8.4841 11.7721
C Hf Sn Zr
2 2 2 2
Direct
0.0000 0.0000 0.0000 C
0.0000 0.0000 0.5000 C
0.3333 0.6667 0.4167 Hf
0.6667 0.3333 0.5833 Hf
0.6667 0.3333 0.2522 Sn
0.3333 0.6667 0.7478 Sn
0.3333 0.6667 0.0862 Zr
0.6667 0.3333 0.9138 Zr
```

***

17.
A plane-wave DFT calculation with PBE was carried out for a relaxed structure of MgRePd.

Output
Spin magnetization: 1.0 μB per formula unit
Electronic total energy: -5.436 eV/atom
Crystal system: cubic

POSCAR file:
```
MgRePd
1.0
0.0000 3.0405 3.0405
3.0405 0.0000 3.0405
3.0405 3.0405 0.0000
Mg Pd Re
1 1 1
Direct
0.2500 0.2500 0.2500 Mg
0.7500 0.7500 0.7500 Pd
0.0000 0.0000 0.0000 Re
```

***

18.
A plane-wave DFT calculation with PBE was carried out for a relaxed structure of BaNdMo.

Output
Energy above the lowest structure with this stoichiometry: 0.00 eV per formula unit
Spin magnetization: 1.4 μB per formula unit
Electronic total energy: -4.734 eV/atom
Crystal system: cubic

POSCAR file:
```
BaNdMo
1.0
0.0000 3.7005 3.7005
3.7005 0.0000 3.7005
3.7005 3.7005 0.0000
Ba Mo Nd
1 1 1
Direct
0.2500 0.2500 0.2500 Ba
0.0000 0.0000 0.0000 Mo
0.7500 0.7500 0.7500 Nd
```

***

19.
A plane-wave DFT calculation with PBE was carried out for a relaxed structure of Lu2Ta4Si3N3.

Output
Spin magnetization: 0.0 μB per formula unit
Electronic total energy: -8.987 eV/atom
Crystal system: monoclinic

POSCAR file:
```
Lu2Ta4Si3N3
1.0
-2.8423 -4.4504 1.4871
2.5038 -4.8721 0.2990
3.1105 5.5857 12.0138
Lu N Si Ta
4 6 6 8
Direct
0.5399 0.3794 0.1151 Lu
0.6206 0.4601 0.3849 Lu
0.3794 0.5399 0.6151 Lu
0.4601 0.6206 0.8849 Lu
0.5000 0.0000 0.0000 N
0.1848 0.6582 0.0002 N
0.3418 0.8152 0.4998 N
0.0000 0.5000 0.5000 N
0.6582 0.1848 0.5002 N
0.8152 0.3418 0.9998 N
0.5838 0.8910 0.2498 Si
0.0697 0.9303 0.2500 Si
0.1090 0.4162 0.2502 Si
0.8910 0.5838 0.7498 Si
0.9303 0.0697 0.7500 Si
0.4162 0.1090 0.7502 Si
0.8629 0.6977 0.0845 Ta
0.1961 0.0314 0.0849 Ta
0.9686 0.8039 0.4151 Ta
0.3023 0.1371 0.4155 Ta
0.6977 0.8629 0.5845 Ta
0.0314 0.1961 0.5849 Ta
0.8039 0.9686 0.9151 Ta
0.1371 0.3023 0.9155 Ta
```

***

20.
A plane-wave DFT calculation with PBE was carried out for a relaxed structure of Ta4BiSbC2.

Output
Spin magnetization: 0.0 μB per formula unit
Electronic total energy: -9.449 eV/atom
Crystal system: hexagonal

POSCAR file:
```
Ta4BiSbC2
1.0
3.3975 0.0000 0.0000
-1.6987 2.9423 0.0000
0.0000 0.0000 13.1663
Bi C Sb Ta
1 2 1 4
Direct
0.0000 0.0000 0.0000 Bi
0.3333 0.6667 0.2546 C
0.3333 0.6667 0.7454 C
0.6667 0.3333 0.5000 Sb
0.6667 0.3333 0.1754 Ta
0.0000 0.0000 0.3369 Ta
0.0000 0.0000 0.6631 Ta
0.6667 0.3333 0.8246 Ta
```